BeCu4Si | PBE | relaxed

## Properties
DOS at the Fermi energy: 1.86 states/eV/cell
symmetry: F-43m (216)
energy: -24.0 eV/cell
energy relative to the lowest polymorph listed for this composition: 238 meV/atom
total magnetic moment: 0.00 μB/atom

Lattice parameters (Å, degrees): 4.7273 4.7273 4.7273 60.00 60.00 60.00
Last column: nearest neighbours and their distance in Å.
Fractional positions:
Cu 0.8759 0.3747 0.3747  6 Cu 2.36-2.37
Cu 0.3747 0.8759 0.3747  6 Cu 2.36-2.37
Cu 0.3747 0.3747 0.8759  6 Cu 2.36-2.37
Cu 0.3747 0.3747 0.3747  6 Cu 2.36-2.37
Be 0.0000 0.0000 0.0000  12 Cu 2.77, 4 Si 2.89
Si 0.7500 0.7500 0.7500  12 Cu 2.77, 4 Be 2.89